DFT (PBE-GGA) results for an optimized crystal structure of AcSc2Bi.

Structure (CIF):
```
data_AcSc2Bi
_chemical_formula_sum 'Ac1 Sc2 Bi1'
_space_group_name_H-M_alt 'P 1'
_space_group_IT_number 1
_space_group_name_Hall 'P 1'
_cell_length_a 4.6671
_cell_length_b 4.9552
_cell_length_c 4.9552
_cell_angle_alpha 90.00
_cell_angle_beta 90.00
_cell_angle_gamma 90.00
loop_
_atom_site_label
_atom_site_type_symbol
_atom_site_fract_x
_atom_site_fract_y
_atom_site_fract_z
Ac1 Ac 0.5000 0.5000 0.5000
Sc1 Sc 0.0000 0.5000 0.0000
Sc2 Sc 0.0000 0.0000 0.5000
Bi1 Bi 0.5000 0.0000 0.0000
```

Summary:
DOS at the Fermi energy (states/eV/f.u.): 6.56
Energy relative to the lowest polymorph listed for this composition (eV/atom): 0.000
Calculated density (g/cm³): 7.6
E_form (eV per atom): -0.221

***

DFT (PBE-GGA) results for an optimized crystal structure of FeAsPC.

Structure (CIF):
```
data_FeAsPC
_chemical_formula_sum 'Fe2 As2 P2 C2'
_space_group_name_H-M_alt 'P 1'
_space_group_IT_number 1
_space_group_name_Hall 'P 1'
_cell_length_a 5.3900
_cell_length_b 2.9034
_cell_length_c 6.9517
_cell_angle_alpha 90.00
_cell_angle_beta 109.02
_cell_angle_gamma 90.00
loop_
_atom_site_label
_atom_site_type_symbol
_atom_site_fract_x
_atom_site_fract_y
_atom_site_fract_z
As1 As 0.1487 0.5000 0.3644
Fe1 Fe 0.8953 0.5000 0.6051
P1 P 0.6773 0.5000 0.8242
C1 C 0.5243 0.5000 0.3743
Fe2 Fe 0.8953 0.0000 0.1051
P2 P 0.6773 0.0000 0.3242
As2 As 0.1487 0.0000 0.8644
C2 C 0.5243 0.0000 0.8743
```

Summary:
Energy relative to the lowest polymorph listed for this composition (eV/atom): 0.000
Calculated density (g/cm³): 5.6
E_form (eV per atom): 0.184

***

DFT (PBE-GGA) results for an optimized crystal structure of ReIr2Ru4Pt.

Structure (CIF):
```
data_ReIr2Ru4Pt
_chemical_formula_sum 'Re1 Ir2 Ru4 Pt1'
_space_group_name_H-M_alt 'P 1'
_space_group_IT_number 1
_space_group_name_Hall 'P 1'
_cell_length_a 2.7279
_cell_length_b 4.7330
_cell_length_c 9.0607
_cell_angle_alpha 80.00
_cell_angle_beta 90.00
_cell_angle_gamma 90.00
loop_
_atom_site_label
_atom_site_type_symbol
_atom_site_fract_x
_atom_site_fract_y
_atom_site_fract_z
Ru1 Ru 0.0000 0.2487 0.2553
Ir1 Ir 0.0000 0.0000 0.0000
Re1 Re 0.0000 0.5000 0.5000
Ru2 Ru 0.0000 0.7513 0.7447
Ru3 Ru 0.5000 0.2505 0.7453
Pt1 Pt 0.5000 0.5000 0.0000
Ru4 Ru 0.5000 0.7495 0.2547
Ir2 Ir 0.5000 0.0000 0.5000
```

Summary:
DOS at the Fermi energy (states/eV/f.u.): 9.28
Calculated density (g/cm³): 16.9
E_form (eV per atom): 0.002

***

DFT (PBE-GGA) results for an optimized crystal structure of CrRhC.

Structure (CIF):
```
data_CrRhC
_chemical_formula_sum 'Cr1 Rh1 C1'
_space_group_name_H-M_alt 'P 1'
_space_group_IT_number 1
_space_group_name_Hall 'P 1'
_cell_length_a 2.7566
_cell_length_b 2.7566
_cell_length_c 4.2791
_cell_angle_alpha 90.00
_cell_angle_beta 90.00
_cell_angle_gamma 90.00
loop_
_atom_site_label
_atom_site_type_symbol
_atom_site_fract_x
_atom_site_fract_y
_atom_site_fract_z
C1 C 0.0000 0.0000 0.2058
Rh1 Rh 0.0000 0.0000 0.7478
Cr1 Cr 0.5000 0.5000 0.3106
```

Summary:
DOS at the Fermi energy (states/eV/f.u.): 1.97
Energy relative to the lowest polymorph listed for this composition (eV/atom): 0.054
Calculated density (g/cm³): 8.5
E_form (eV per atom): 0.119